HfTi2CCl (meta-GGA SCAN, single point on PBEsol structure); formation energy from raw total energies = 1.21 eV per atom; crystal system = tetragonal
1.0
4.082 0.000 0.000
0.000 5.014 0.000
0.000 0.000 5.014
Ti Hf Cl C
2 1 1 1
direct
0.000 0.500 0.000
0.000 0.000 0.500
0.000 0.000 0.000
0.500 0.500 0.500
0.500 0.000 0.000

CuSi2Sb (meta-GGA SCAN, single point on PBEsol structure); formation energy from raw total energies = 0.60 eV per atom; crystal system = tetragonal
1.0
3.712 0.000 0.000
0.000 3.703 0.000
0.000 0.000 4.973
Sb Si Cu
1 2 1
direct
0.000 0.500 0.500
0.500 0.500 0.000
0.000 0.000 0.000
0.500 0.000 0.500

Cd3Ni (meta-GGA SCAN, single point on PBEsol structure); formation enthalpy at 0 K = 42 kJ/mol of formula units; crystal system = cubic
1.0
-1.693 -0.562 -3.683
3.702 -0.712 -1.592
-0.423 -3.990 0.803
Cd Ni
3 1
direct
0.000 0.500 0.000
0.000 0.000 0.500
0.500 0.000 0.000
0.500 0.500 0.500

MnTePb2 (meta-GGA SCAN, single point on PBEsol structure); formation energy from raw total energies = 0.05 eV per atom; crystal system = monoclinic
1.0
-0.366 2.009 3.424
2.069 -4.509 2.867
3.961 2.850 -1.248
Pb Te Mn
2 1 1
direct
0.000 0.832 0.205
0.000 0.168 0.795
0.500 0.500 0.500
0.500 0.500 0.000

MgSeN2F (meta-GGA SCAN, single point on PBEsol structure); formation energy from raw total energies = 0.44 eV per atom; crystal system = tetragonal
1.0
3.579 0.000 0.000
0.000 4.143 0.000
0.000 0.000 4.143
F Se N Mg
1 1 2 1
direct
0.500 0.000 0.000
0.500 0.500 0.500
0.000 0.000 0.500
0.000 0.500 0.000
0.000 0.000 0.000

BaZrOs2 (meta-GGA SCAN, single point on PBEsol structure); formation enthalpy at 0 K = 372 kJ/mol of formula units; crystal system = orthorhombic
1.0
-1.023 0.900 -2.875
-3.147 -4.100 -0.164
-1.343 4.150 3.538
Os Ba Zr
2 1 1
direct
0.232 0.232 0.465
0.768 0.768 0.535
0.000 0.500 0.000
0.500 0.000 0.000

BaAgP2N (meta-GGA SCAN, single point on PBEsol structure); formation energy from raw total energies = 0.46 eV per atom; crystal system = tetragonal
1.0
-2.489 -0.477 3.523
3.729 0.046 2.640
-0.328 4.541 0.383
N Ag P Ba
1 1 2 1
direct
0.000 0.000 0.000
0.500 0.000 0.000
0.000 0.000 0.500
0.000 0.500 0.000
0.500 0.500 0.500

InSe (meta-GGA SCAN, single point on PBEsol structure); formation energy from raw total energies = -0.56 eV per atom; crystal system = monoclinic
1.0
4.110 0.000 0.000
0.000 4.501 -0.074
-2.055 -2.000 5.540
In Se
2 2
direct
0.615 0.476 0.229
0.385 0.524 0.771
0.847 0.866 0.693
0.153 0.134 0.307

Be3NbSn (meta-GGA SCAN, single point on PBEsol structure); formation enthalpy at 0 K = 661 kJ/mol of formula units; crystal system = cubic
1.0
-0.230 -4.430 -0.187
0.607 -0.217 4.393
-4.393 0.202 0.617
Be Nb Sn
3 1 1
direct
0.000 0.500 0.000
0.500 0.000 0.000
0.000 0.000 0.500
0.000 0.000 0.000
0.500 0.500 0.500

Cr2ReW (meta-GGA SCAN, single point on PBEsol structure); formation enthalpy at 0 K = 134 kJ/mol of formula units; crystal system = trigonal
1.0
-1.879 1.424 -1.455
-0.133 -0.292 -2.752
-5.987 -5.711 -0.499
W Cr Re
1 2 1
direct
0.254 0.254 0.238
0.744 0.744 0.768
0.008 0.008 0.977
0.494 0.494 0.517

NaSrI2N (meta-GGA SCAN, single point on PBEsol structure); formation energy from raw total energies = -0.51 eV per atom; crystal system = tetragonal
1.0
-2.483 0.110 -4.165
5.342 -1.270 -3.218
-1.164 -6.235 0.529
I N Sr Na
2 1 1 1
direct
0.000 0.000 0.500
0.000 0.500 0.000
0.500 0.000 0.000
0.000 0.000 0.000
0.500 0.500 0.500

Tl2I3O9 (meta-GGA SCAN, single point on PBEsol structure); formation energy from raw total energies = -0.53 eV per atom; crystal system = triclinic
1.0
-2.291 -6.489 1.303
0.907 -3.901 -5.783
8.068 -5.189 4.158
O I Tl
18 6 4
direct
0.454 0.121 0.810
0.413 0.699 0.411
0.916 0.295 0.815
0.279 0.650 0.810
0.950 0.948 0.680
0.432 0.335 0.048
0.678 0.663 0.676
0.721 0.350 0.190
0.151 0.049 0.045
0.050 0.052 0.320
0.568 0.665 0.952
0.849 0.951 0.955
0.666 0.946 0.395
0.084 0.705 0.185
0.334 0.054 0.605
0.587 0.301 0.589
0.546 0.879 0.190
0.322 0.337 0.324
0.959 0.978 0.189
0.554 0.526 0.809
0.041 0.022 0.811
0.407 0.957 0.371
0.593 0.043 0.629
0.446 0.474 0.191
0.838 0.462 0.403
0.000 0.500 0.000
0.162 0.538 0.597
0.500 0.000 0.000

Li2Zr6MnCl15 (meta-GGA SCAN, single point on PBEsol structure); formation energy from raw total energies = -1.88 eV per atom; crystal system = tetragonal
1.0
-4.638 -5.899 4.806
6.617 -4.043 -4.390
3.478 6.099 5.488
Zr Cl Li Mn
6 15 2 1
direct
0.000 0.230 0.230
0.770 0.000 0.770
0.000 0.770 0.770
0.761 0.761 0.000
0.239 0.239 0.000
0.230 0.000 0.230
0.998 0.749 0.249
0.500 0.251 0.249
0.500 0.500 0.000
0.500 0.000 0.500
0.755 0.755 0.511
0.251 0.500 0.249
0.755 0.245 0.000
0.000 0.500 0.500
0.245 0.245 0.489
0.251 0.002 0.751
0.500 0.749 0.751
0.749 0.500 0.751
0.002 0.251 0.751
0.245 0.755 0.000
0.749 0.998 0.249
0.250 0.750 0.500
0.750 0.250 0.500
0.000 0.000 0.000

TaCuSi2 (meta-GGA SCAN, single point on PBEsol structure); formation energy from raw total energies = -0.06 eV per atom; crystal system = tetragonal
1.0
3.321 0.000 0.000
0.000 3.321 0.000
0.000 0.000 5.111
Si Cu Ta
2 1 1
direct
0.500 0.500 0.259
0.000 0.000 0.981
0.500 0.500 0.781
0.000 0.000 0.479

Er6FeSb2 (meta-GGA SCAN, single point on PBEsol structure); formation energy from raw total energies = -0.59 eV per atom; crystal system = hexagonal
1.0
4.021 0.000 0.000
0.000 8.005 0.000
0.000 -4.002 6.932
Fe Er Sb
1 6 2
direct
0.500 0.000 0.000
0.000 0.767 0.767
0.000 0.233 0.000
0.500 0.395 0.395
0.500 0.000 0.605
0.000 0.000 0.233
0.500 0.605 0.000
0.000 0.333 0.667
0.000 0.667 0.333

K2YHg (meta-GGA SCAN, single point on PBEsol structure); formation enthalpy at 0 K = 94 kJ/mol of formula units; crystal system = orthorhombic
1.0
-3.582 -0.873 -0.234
1.325 -5.639 0.758
-0.618 0.749 6.653
K Hg Y
2 1 1
direct
0.000 0.000 0.732
0.000 0.000 0.268
0.500 0.500 0.500
0.500 0.500 0.000

CsBAsSe2 (meta-GGA SCAN, single point on PBEsol structure); formation energy from raw total energies = 0.42 eV per atom; crystal system = tetragonal
1.0
4.335 0.000 0.000
0.000 5.016 0.000
0.000 0.000 5.016
Se B Cs As
2 1 1 1
direct
0.000 0.000 0.500
0.000 0.500 0.000
0.000 0.000 0.000
0.500 0.500 0.500
0.500 0.000 0.000

KBi3C (meta-GGA SCAN, single point on PBEsol structure); formation enthalpy at 0 K = 1235 kJ/mol of formula units; crystal system = cubic
1.0
-1.459 4.660 3.196
-5.282 -2.298 0.940
2.009 -2.658 4.792
Bi C K
3 1 1
direct
0.000 0.000 0.500
0.000 0.500 0.000
0.500 0.000 0.000
0.500 0.500 0.500
0.000 0.000 0.000

BeOsPd3 (meta-GGA SCAN, single point on PBEsol structure); formation enthalpy at 0 K = 276 kJ/mol of formula units; crystal system = cubic
1.0
-0.492 1.371 3.832
1.575 -3.495 1.453
3.753 1.647 -0.108
Be Os Pd
1 1 3
direct
0.000 0.000 0.000
0.500 0.500 0.500
0.000 0.000 0.500
0.500 0.000 0.000
0.000 0.500 0.000

NaOsCl2 (meta-GGA SCAN, single point on PBEsol structure); formation energy from raw total energies = 0.22 eV per atom; crystal system = cubic
1.0
4.587 0.000 0.000
2.293 3.972 0.000
2.293 1.324 3.745
Cl Na Os
2 1 1
direct
0.250 0.250 0.250
0.750 0.750 0.750
0.000 0.000 0.000
0.500 0.500 0.500

AlCo2Si (meta-GGA SCAN, single point on PBEsol structure); formation energy from raw total energies = -0.59 eV per atom; crystal system = orthorhombic
1.0
-2.413 -1.183 -0.386
1.074 -1.443 -2.285
1.484 -4.100 3.287
Si Co Al
1 2 1
direct
0.500 0.500 0.000
0.000 0.000 0.234
0.000 0.000 0.766
0.500 0.500 0.500

Mg2AlTl (meta-GGA SCAN, single point on PBEsol structure); formation enthalpy at 0 K = -1 kJ/mol of formula units; crystal system = trigonal
1.0
3.273 0.000 0.000
1.637 2.835 0.000
1.637 0.945 9.395
Al Tl Mg
1 1 2
direct
0.000 0.000 0.000
0.500 0.500 0.500
0.746 0.746 0.761
0.254 0.254 0.239

Ba6Tm2Ga4O15 (meta-GGA SCAN, single point on PBEsol structure); formation energy from raw total energies = -2.90 eV per atom; crystal system = monoclinic
1.0
5.932 0.000 0.000
0.000 7.891 0.004
0.000 -0.453 18.331
O Ba Ga Tm
30 12 8 4
direct
0.754 0.471 0.090
0.543 0.754 0.663
0.233 0.043 0.608
0.012 0.234 0.492
0.246 0.471 0.590
0.487 0.233 0.001
0.188 0.000 0.250
0.233 0.957 0.892
0.513 0.767 0.999
0.767 0.957 0.392
0.340 0.310 0.183
0.960 0.720 0.188
0.246 0.529 0.910
0.767 0.043 0.108
0.457 0.246 0.337
0.988 0.234 0.992
0.960 0.280 0.312
0.660 0.310 0.683
0.988 0.766 0.508
0.660 0.690 0.817
0.513 0.233 0.501
0.040 0.720 0.688
0.754 0.529 0.410
0.457 0.754 0.163
0.040 0.280 0.812
0.487 0.767 0.499
0.543 0.246 0.837
0.812 0.000 0.750
0.012 0.766 0.008
0.340 0.690 0.317
0.721 0.000 0.250
0.750 0.975 0.911
0.327 0.500 0.750
0.753 0.499 0.922
0.250 0.975 0.411
0.750 0.025 0.589
0.673 0.500 0.250
0.250 0.025 0.089
0.753 0.501 0.578
0.279 0.000 0.750
0.247 0.501 0.078
0.247 0.499 0.422
0.228 0.769 0.233
0.254 0.755 0.942
0.746 0.245 0.058
0.228 0.231 0.267
0.746 0.755 0.442
0.772 0.231 0.767
0.772 0.769 0.733
0.254 0.245 0.558
0.251 0.753 0.590
0.251 0.247 0.910
0.749 0.753 0.090
0.749 0.247 0.410

In4C3 (meta-GGA SCAN, single point on PBEsol structure); formation enthalpy at 0 K = 869 kJ/mol of formula units; crystal system = cubic
1.0
4.749 0.000 0.000
0.000 4.749 0.000
0.000 0.000 4.749
In C
4 3
direct
0.500 0.000 0.500
0.500 0.500 0.000
0.000 0.000 0.000
0.000 0.500 0.500
0.000 0.000 0.500
0.000 0.500 0.000
0.500 0.000 0.000

no.,density (g cm⁻³),spin magnetization (Bohr magnetons per cell)
1,5.21,2.23
2,5.87,0.00
3,9.59,0.00
4,8.99,3.31
5,4.06,1.37
6,13.01,0.00
7,5.89,0.00
8,6.32,0.00
9,4.53,0.00
10,14.56,0.00
11,3.20,2.00
12,6.62,0.00
13,3.50,0.00
14,8.86,0.00
15,9.70,0.76
16,4.21,1.23
17,5.73,0.00
18,5.66,1.67
19,12.49,2.03
20,6.91,3.00
21,6.66,1.24
22,5.33,0.00
23,6.50,0.00
24,7.68,0.00